Entry 1:
Entry from Alexandria via LeMat-Bulk: Dy3ErIr2 after structural relaxation (PBE-GGA).

abc: 8.3434 8.3434 8.3434
angles: 132.37 71.50 130.04
Closest atoms and distances in Å follow each position.
Positions (direct):
Dy (0.0161, 0.7500, 0.2661)  4 Ir 2.86-2.92
Dy (0.2500, 0.2500, 0.0000)  4 Ir 2.94
Dy (0.4839, 0.7500, 0.7339)  4 Ir 2.86-2.92
Dy (0.5161, 0.2500, 0.2661)  4 Ir 2.86-2.92
Dy (0.7500, 0.7500, 0.0000)  4 Ir 2.94
Dy (0.9839, 0.2500, 0.7339)  4 Ir 2.86-2.92
Er (0.0000, 0.5000, 0.5000)  2 Ir 2.68
Er (0.5000, 0.0000, 0.5000)  2 Ir 2.68
Ir (0.1378, 0.2139, 0.3516)  1 Er 2.68, 6 Dy 2.86-2.94
Ir (0.3622, 0.7139, 0.0761)  1 Er 2.68, 6 Dy 2.86-2.94
Ir (0.6378, 0.2861, 0.9239)  1 Er 2.68, 6 Dy 2.86-2.94
Ir (0.8622, 0.7861, 0.6484)  1 Er 2.68, 6 Dy 2.86-2.94

## Properties
magnetization: 0.00 μB/f.u.
VASP energy: -6.670 eV per atom
calculated formation energy: -0.6546 eV per atom
space-group type: Ibam (72)

---

Entry 2:
Entry from Alexandria via LeMat-Bulk: SbPt2Cl after structural relaxation (PBE-GGA).

abc: 6.2491 6.2491 6.2491
angles: 115.45 115.45 98.08
Closest atoms and distances in Å follow each position.
Positions (direct):
Sb (0.0000, 0.0000, 0.0000)  4 Pt 2.54
Sb (0.7500, 0.2500, 0.5000)  4 Pt 2.54
Pt (0.1174, 0.6250, 0.9924)  2 Sb 2.54, 2 Cl 2.61
Pt (0.3750, 0.3674, 0.4924)  2 Sb 2.54, 2 Cl 2.61
Pt (0.6326, 0.1250, 0.0076)  2 Sb 2.54, 2 Cl 2.61
Pt (0.8750, 0.8826, 0.5076)  2 Sb 2.54, 2 Cl 2.61
Cl (0.2500, 0.7500, 0.5000)  4 Pt 2.61
Cl (0.5000, 0.5000, 0.0000)  4 Pt 2.61

## Properties
magnetization: 0.00 μB/f.u.
ΔE_f (raw): 77 meV/atom
VASP energy: -4.435 eV per atom
space-group type: I-42d (122)

---

Entry 3:
Entry from Alexandria via LeMat-Bulk: Ca3Ni2H9 after structural relaxation (PBE-GGA).

abc: 4.9500 4.9500 6.1369
angles: 90.00 90.00 120.00
Closest atoms and distances in Å follow each position.
Positions (direct):
Ca (0.0000, 0.0000, 0.0000)  12 H 2.43-2.47
Ca (0.3333, 0.6667, 0.3402)  12 H 2.48-2.53
Ca (0.6667, 0.3333, 0.6598)  12 H 2.48-2.53
Ni (0.3333, 0.6667, 0.8262)  6 H 1.62-1.78
Ni (0.6667, 0.3333, 0.1738)  6 H 1.62-1.78
H (0.0000, 0.5000, 0.0000)  2 Ni 1.78
H (0.1727, 0.3453, 0.6864)  1 Ni 1.62
H (0.1727, 0.8273, 0.6864)  1 Ni 1.62
H (0.3453, 0.1727, 0.3136)  1 Ni 1.62
H (0.5000, 0.0000, 0.0000)  2 Ni 1.78
H (0.5000, 0.5000, 0.0000)  2 Ni 1.78
H (0.6547, 0.8273, 0.6864)  1 Ni 1.62
H (0.8273, 0.1727, 0.3136)  1 Ni 1.62
H (0.8273, 0.6547, 0.3136)  1 Ni 1.62

## Properties
magnetization: 0.00 μB/f.u.
VASP energy: -3.886 eV per atom
space-group type: P-3m1 (164)